# 1
Computed, not measured: V2CrOs after structural relaxation at the PBE-GGA level of DFT.

Values from the calculation:
ρ in g cm⁻³: 10.9
DOS at the Fermi energy in states/eV per cell: 11.20
Magnetization in μB/atom: 0.04
Final energy in eV/cell: -161.18
Energy of formation from the pure elements in meV/atom: -301

a b c (Å): 5.9470 5.9470 5.9470
angles (deg): 90.00 90.00 90.00
Space group Fm-3m (No. 225)
Asymmetric unit:
V: 0.2500 0.2500 0.2500
Cr: 0.0000 0.0000 0.0000
Os: 0.0000 0.0000 0.5000



# 2
Computed, not measured: Rb3Tl5I12 after structural relaxation at the PBE-GGA level of DFT.

Values from the calculation:
Formation energy (no corrections) in meV per atom: -721.3
ρ in g cm⁻³: 4.4
DOS at the Fermi energy in states/eV per cell: 88.34
Magnetization in μB/atom: 0.00
Final energy in eV/cell: -382.09

a b c (Å): 20.3892 20.3892 20.3892
angles (deg): 90.00 90.00 90.00
Space group Ia-3d (No. 230)
Asymmetric unit:
Rb: 0.0000 0.2500 0.1250
Tl: 0.0000 0.0000 0.0000
Tl: 0.0000 0.2500 0.3750
I: 0.0300 0.0594 0.6541



# 3
Computed, not measured: KTePbN2 after structural relaxation at the PBE-GGA level of DFT.

Values from the calculation:
Formation energy (no corrections) in meV per atom: 1710.4
ρ in g cm⁻³: 4.1
DOS at the Fermi energy in states/eV per cell: 1.84
Magnetization in μB/atom: 1.00
Final energy in eV/cell: -16.05

a b c (Å): 4.9305 4.9305 6.6951
angles (deg): 90.00 90.00 90.00
Space group P4/mmm (No. 123)
Asymmetric unit:
K: 0.0000 0.0000 0.0000
Te: 0.0000 0.0000 0.5000
Pb: 0.5000 0.5000 0.5000
N: 0.0000 0.5000 0.0000



# 4
Computed, not measured: Co2Ir2Pd after structural relaxation at the PBE-GGA level of DFT.

Values from the calculation:
ρ in g cm⁻³: 14.7
DOS at the Fermi energy in states/eV per cell: 12.84
Magnetization in μB/atom: 0.88
Final energy in eV/cell: -72.39
Energy of formation from the pure elements in meV/atom: 186

a b c (Å): 7.1707 7.1707 2.6777
angles (deg): 90.00 90.00 90.00
Space group P4/mbm (No. 127)
Asymmetric unit:
Co: 0.1233 0.3767 0.0000
Ir: 0.1706 0.6706 0.5000
Pd: 0.0000 0.0000 0.0000



Q: Among the records above, which one has the lowest DOS at the Fermi energy?
A: KTePbN2